# 1
Computed, not measured: an optimized crystal structure of Sr2As2Au at the PBE level of DFT. Values from VASP.

Quantum ESPRESSO input file:
```
&SYSTEM
  ibrav = 0, nat = 10, ntyp = 3
/
ATOMIC_SPECIES
Sr 87.62 Sr.upf
As 74.92 As.upf
Au 196.97 Au.upf
ATOMIC_POSITIONS crystal
Sr 0.000 0.500 0.250
Sr 0.000 0.500 0.750
Sr 0.500 0.000 0.250
Sr 0.500 0.000 0.750
As 0.000 0.000 0.178
As 0.000 0.000 0.822
As 0.500 0.500 0.322
As 0.500 0.500 0.678
Au 0.000 0.000 0.500
Au 0.500 0.500 0.000
CELL_PARAMETERS angstrom
6.134 0.000 0.000
0.000 6.134 0.000
0.000 0.000 8.071
```

Values from the calculation:
* energy above the lowest structure with this stoichiometry: 1.21 eV per formula unit
* symmetry: I4/mmm, No. 139


# 2
Computed, not measured: an optimized crystal structure of ScPa2CrN6 at the PBE level of DFT. Values from VASP.

Quantum ESPRESSO input file:
```
&SYSTEM
  ibrav = 0, nat = 10, ntyp = 4
/
ATOMIC_SPECIES
Sc 44.96 Sc.upf
Pa 231.04 Pa.upf
Cr 52.00 Cr.upf
N 14.01 N.upf
ATOMIC_POSITIONS crystal
Sc 0.000 0.000 0.000
Pa 0.000 0.500 0.415
Pa 0.500 0.000 0.415
Cr 0.500 0.500 0.016
N 0.000 0.000 0.583
N 0.262 0.262 0.170
N 0.262 0.738 0.170
N 0.500 0.500 0.672
N 0.738 0.262 0.170
N 0.738 0.738 0.170
CELL_PARAMETERS angstrom
5.293 0.000 0.000
0.000 5.293 0.000
0.000 0.000 4.893
```

Values from the calculation:
* symmetry: P4mm, No. 99
* uncorrected formation energy: -11.162 eV/f.u.